! TiNb2CdS, optimized geometry, DFT PBE-GGA; values from VASP
&SYSTEM
  ibrav = 0, nat = 5, ntyp = 4
/
ATOMIC_SPECIES
Ti 47.87 Ti.upf
Nb 92.91 Nb.upf
Cd 112.41 Cd.upf
S 32.06 S.upf
ATOMIC_POSITIONS crystal
Ti 0.000 0.000 0.000
Nb 0.000 0.500 0.500
Nb 0.500 0.000 0.500
Cd 0.500 0.500 0.000
S 0.500 0.500 0.500
CELL_PARAMETERS angstrom
4.585 0.000 0.000
0.000 4.585 0.000
0.000 0.000 4.856
! formation energy without anion corrections	0.3972	eV/atom

---

! NbTl2CdS4, optimized geometry, DFT PBE-GGA; values from VASP
&SYSTEM
  ibrav = 0, nat = 8, ntyp = 4
/
ATOMIC_SPECIES
Nb 92.91 Nb.upf
Tl 204.38 Tl.upf
Cd 112.41 Cd.upf
S 32.06 S.upf
ATOMIC_POSITIONS crystal
Nb 0.000 0.000 0.000
Tl 0.500 0.500 0.000
Tl 0.750 0.250 0.500
Cd 0.250 0.750 0.500
S 0.006 0.959 0.645
S 0.041 0.686 0.047
S 0.314 0.360 0.355
S 0.640 0.994 0.953
CELL_PARAMETERS angstrom
-3.808 3.808 4.023
3.808 -3.808 4.023
3.808 3.808 -4.023
! formation energy without anion corrections	-0.5397	eV/atom

---

! Zr2NbCdS, optimized geometry, DFT PBE-GGA; values from VASP
&SYSTEM
  ibrav = 0, nat = 5, ntyp = 4
/
ATOMIC_SPECIES
Zr 91.22 Zr.upf
Nb 92.91 Nb.upf
Cd 112.41 Cd.upf
S 32.06 S.upf
ATOMIC_POSITIONS crystal
Zr 0.000 0.500 0.000
Zr 0.500 0.000 0.000
Nb 0.000 0.000 0.000
Cd 0.500 0.500 0.500
S 0.000 0.000 0.500
CELL_PARAMETERS angstrom
5.199 0.000 0.000
0.000 5.199 0.000
0.000 0.000 4.688
! formation energy without anion corrections	0.4990	eV/atom

---

! Nb2Cd2Sb, optimized geometry, DFT PBE-GGA; values from VASP
&SYSTEM
  ibrav = 0, nat = 10, ntyp = 3
/
ATOMIC_SPECIES
Nb 92.91 Nb.upf
Cd 112.41 Cd.upf
Sb 121.76 Sb.upf
ATOMIC_POSITIONS crystal
Nb 0.138 0.362 0.000
Nb 0.362 0.862 0.000
Nb 0.638 0.138 0.000
Nb 0.862 0.638 0.000
Cd 0.158 0.658 0.500
Cd 0.342 0.158 0.500
Cd 0.658 0.842 0.500
Cd 0.842 0.342 0.500
Sb 0.000 0.000 0.000
Sb 0.500 0.500 0.000
CELL_PARAMETERS angstrom
7.038 0.000 0.000
0.000 7.038 0.000
0.000 0.000 4.463
! energy relative to the lowest polymorph listed for this composition	0	meV per atom
! formation energy without anion corrections	0.1812	eV/atom

---

! NbCd2Sb, optimized geometry, DFT PBE-GGA; values from VASP
&SYSTEM
  ibrav = 0, nat = 8, ntyp = 3
/
ATOMIC_SPECIES
Nb 92.91 Nb.upf
Cd 112.41 Cd.upf
Sb 121.76 Sb.upf
ATOMIC_POSITIONS crystal
Nb 0.000 0.000 0.000
Nb 0.750 0.250 0.500
Cd 0.121 0.625 0.996
Cd 0.375 0.371 0.496
Cd 0.629 0.125 0.004
Cd 0.875 0.879 0.504
Sb 0.250 0.750 0.500
Sb 0.500 0.500 0.000
CELL_PARAMETERS angstrom
-4.083 4.083 2.796
4.083 -4.083 2.796
4.083 4.083 -2.796
! formation energy without anion corrections	0.4190	eV/atom

---

! Nb2Cd2Sb, optimized geometry, DFT PBE-GGA; values from VASP
&SYSTEM
  ibrav = 0, nat = 5, ntyp = 3
/
ATOMIC_SPECIES
Nb 92.91 Nb.upf
Cd 112.41 Cd.upf
Sb 121.76 Sb.upf
ATOMIC_POSITIONS crystal
Nb 0.086 0.086 0.000
Nb 0.914 0.914 0.000
Cd 0.250 0.750 0.500
Cd 0.750 0.250 0.500
Sb 0.500 0.500 0.000
CELL_PARAMETERS angstrom
-1.934 1.934 7.323
1.934 -1.934 7.323
1.934 1.934 -7.323
! energy relative to the lowest polymorph listed for this composition	156	meV per atom
! formation energy without anion corrections	0.3369	eV/atom

---

! NbCd2Sb2, optimized geometry, DFT PBE-GGA; values from VASP
&SYSTEM
  ibrav = 0, nat = 5, ntyp = 3
/
ATOMIC_SPECIES
Nb 92.91 Nb.upf
Cd 112.41 Cd.upf
Sb 121.76 Sb.upf
ATOMIC_POSITIONS crystal
Nb 0.000 0.000 0.000
Cd 0.409 0.409 0.000
Cd 0.591 0.591 0.000
Sb 0.250 0.750 0.500
Sb 0.750 0.250 0.500
CELL_PARAMETERS angstrom
-2.114 2.114 7.452
2.114 -2.114 7.452
2.114 2.114 -7.452
! energy relative to the lowest polymorph listed for this composition	512	meV per atom
! formation energy without anion corrections	0.7436	eV/atom

---

! NbCdSb2, optimized geometry, DFT PBE-GGA; values from VASP
&SYSTEM
  ibrav = 0, nat = 4, ntyp = 3
/
ATOMIC_SPECIES
Nb 92.91 Nb.upf
Cd 112.41 Cd.upf
Sb 121.76 Sb.upf
ATOMIC_POSITIONS crystal
Nb 0.000 0.000 0.000
Cd 0.168 0.168 0.168
Sb 0.406 0.406 0.406
Sb 0.594 0.594 0.594
CELL_PARAMETERS angstrom
1.753 1.012 9.203
-1.753 1.012 9.203
0.000 -2.025 9.203
! formation energy without anion corrections	0.0180	eV/atom

---

! NbCd2Sb2, optimized geometry, DFT PBE-GGA; values from VASP
&SYSTEM
  ibrav = 0, nat = 10, ntyp = 3
/
ATOMIC_SPECIES
Nb 92.91 Nb.upf
Cd 112.41 Cd.upf
Sb 121.76 Sb.upf
ATOMIC_POSITIONS crystal
Nb 0.000 0.000 0.000
Nb 0.500 0.500 0.000
Cd 0.129 0.371 0.000
Cd 0.371 0.871 0.000
Cd 0.629 0.129 0.000
Cd 0.871 0.629 0.000
Sb 0.178 0.678 0.500
Sb 0.322 0.178 0.500
Sb 0.678 0.822 0.500
Sb 0.822 0.322 0.500
CELL_PARAMETERS angstrom
7.740 0.000 0.000
0.000 7.740 0.000
0.000 0.000 3.894
! energy relative to the lowest polymorph listed for this composition	225	meV per atom
! formation energy without anion corrections	0.4565	eV/atom

---

! NbCdSb3, optimized geometry, DFT PBE-GGA; values from VASP
&SYSTEM
  ibrav = 0, nat = 5, ntyp = 3
/
ATOMIC_SPECIES
Nb 92.91 Nb.upf
Cd 112.41 Cd.upf
Sb 121.76 Sb.upf
ATOMIC_POSITIONS crystal
Nb 0.000 0.000 0.000
Cd 0.500 0.500 0.500
Sb 0.000 0.500 0.500
Sb 0.500 0.000 0.500
Sb 0.500 0.500 0.000
CELL_PARAMETERS angstrom
5.350 0.000 0.000
0.000 5.350 0.000
0.000 0.000 5.350
! energy relative to the lowest polymorph listed for this composition	1065	meV per atom
! formation energy without anion corrections	1.3815	eV/atom

---

! NbCd2Sb2, optimized geometry, DFT PBE-GGA; values from VASP
&SYSTEM
  ibrav = 0, nat = 10, ntyp = 3
/
ATOMIC_SPECIES
Nb 92.91 Nb.upf
Cd 112.41 Cd.upf
Sb 121.76 Sb.upf
ATOMIC_POSITIONS crystal
Nb 0.000 0.000 0.000
Nb 0.500 0.500 0.000
Cd 0.164 0.336 0.500
Cd 0.336 0.836 0.500
Cd 0.664 0.164 0.500
Cd 0.836 0.664 0.500
Sb 0.150 0.650 0.000
Sb 0.350 0.150 0.000
Sb 0.650 0.850 0.000
Sb 0.850 0.350 0.000
CELL_PARAMETERS angstrom
7.418 0.000 0.000
0.000 7.418 0.000
0.000 0.000 4.365
! energy relative to the lowest polymorph listed for this composition	0	meV per atom
! formation energy without anion corrections	0.2315	eV/atom

---

! NbCd2Sb, optimized geometry, DFT PBE-GGA; values from VASP
&SYSTEM
  ibrav = 0, nat = 4, ntyp = 3
/
ATOMIC_SPECIES
Nb 92.91 Nb.upf
Cd 112.41 Cd.upf
Sb 121.76 Sb.upf
ATOMIC_POSITIONS crystal
Nb 0.000 0.000 0.000
Cd 0.083 0.083 0.083
Cd 0.917 0.917 0.917
Sb 0.500 0.500 0.500
CELL_PARAMETERS angstrom
1.510 0.872 11.940
-1.510 0.872 11.940
0.000 -1.743 11.940
! formation energy without anion corrections	0.5522	eV/atom